# 1
VASP calculation (PBE) on a geometry-optimized TbSi2Pb2Au7 structure. Values from VASP.

Cell and atoms, written as Quantum ESPRESSO input:
```
&SYSTEM
  ibrav = 0, nat = 12, ntyp = 4
/
ATOMIC_SPECIES
Tb 158.93 Tb.upf
Si 28.09 Si.upf
Pb 207.20 Pb.upf
Au 196.97 Au.upf
ATOMIC_POSITIONS crystal
Tb 0.000 0.000 0.000
Si 0.420 0.420 0.757
Si 0.580 0.580 0.243
Pb 0.095 0.095 0.369
Pb 0.905 0.905 0.631
Au 0.055 0.542 0.158
Au 0.358 0.358 0.571
Au 0.458 0.945 0.842
Au 0.500 0.500 0.000
Au 0.542 0.055 0.158
Au 0.642 0.642 0.429
Au 0.945 0.458 0.842
CELL_PARAMETERS angstrom
3.202 -3.157 0.000
3.202 3.157 0.000
-1.670 0.000 13.040
```

## Properties
The formation energy from raw total energies is -245 kJ/mol of formula units. The density of states at the Fermi level comes out at 0.36 states/eV per atom.

# 2
VASP calculation (PBE) on a geometry-optimized SiTePb2Au structure. Values from VASP.

Cell and atoms, written as Quantum ESPRESSO input:
```
&SYSTEM
  ibrav = 0, nat = 5, ntyp = 4
/
ATOMIC_SPECIES
Si 28.09 Si.upf
Te 127.60 Te.upf
Pb 207.20 Pb.upf
Au 196.97 Au.upf
ATOMIC_POSITIONS crystal
Si 0.000 0.000 0.000
Te 0.500 0.500 0.500
Pb 0.000 0.500 0.500
Pb 0.500 0.000 0.500
Au 0.500 0.500 0.000
CELL_PARAMETERS angstrom
6.052 0.000 0.000
0.000 6.052 0.000
0.000 0.000 5.098
```

## Properties
The formation energy from raw total energies is 410 kJ/mol of formula units. The density of states at the Fermi level comes out at 0.96 states/eV per atom.

# 3
VASP calculation (PBE) on a geometry-optimized TlSi2Pb2Au7 structure. Values from VASP.

Cell and atoms, written as Quantum ESPRESSO input:
```
&SYSTEM
  ibrav = 0, nat = 12, ntyp = 4
/
ATOMIC_SPECIES
Tl 204.38 Tl.upf
Si 28.09 Si.upf
Pb 207.20 Pb.upf
Au 196.97 Au.upf
ATOMIC_POSITIONS crystal
Tl 0.000 0.000 0.000
Si 0.311 0.311 0.790
Si 0.689 0.689 0.210
Pb 0.128 0.128 0.371
Pb 0.872 0.872 0.629
Au 0.158 0.569 0.192
Au 0.404 0.404 0.595
Au 0.431 0.842 0.808
Au 0.500 0.500 0.000
Au 0.569 0.158 0.192
Au 0.596 0.596 0.405
Au 0.842 0.431 0.808
CELL_PARAMETERS angstrom
3.414 -3.493 0.000
3.414 3.493 0.000
-2.022 0.000 11.551
```

## Properties
The formation energy from raw total energies is -25 kJ/mol of formula units. The density of states at the Fermi level comes out at 0.43 states/eV per atom.

# 4
VASP calculation (PBE) on a geometry-optimized Tl2Si3PbAu12 structure. Values from VASP.

Cell and atoms, written as Quantum ESPRESSO input:
```
&SYSTEM
  ibrav = 0, nat = 18, ntyp = 4
/
ATOMIC_SPECIES
Tl 204.38 Tl.upf
Si 28.09 Si.upf
Pb 207.20 Pb.upf
Au 196.97 Au.upf
ATOMIC_POSITIONS crystal
Tl 0.095 0.095 0.095
Tl 0.905 0.905 0.905
Si 0.000 0.500 0.500
Si 0.500 0.000 0.500
Si 0.500 0.500 0.000
Pb 0.500 0.500 0.500
Au 0.107 0.663 0.663
Au 0.194 0.194 0.641
Au 0.194 0.641 0.194
Au 0.337 0.337 0.893
Au 0.337 0.893 0.337
Au 0.359 0.806 0.806
Au 0.641 0.194 0.194
Au 0.663 0.107 0.663
Au 0.663 0.663 0.107
Au 0.806 0.359 0.806
Au 0.806 0.806 0.359
Au 0.893 0.337 0.337
CELL_PARAMETERS angstrom
4.558 2.631 5.554
-4.558 2.631 5.554
0.000 -5.263 5.554
```

## Properties
The formation energy from raw total energies is 199 kJ/mol of formula units. The density of states at the Fermi level comes out at 0.31 states/eV per atom.

# 5
VASP calculation (PBE) on a geometry-optimized Tl2Si2PbAu7 structure. Values from VASP.

Cell and atoms, written as Quantum ESPRESSO input:
```
&SYSTEM
  ibrav = 0, nat = 12, ntyp = 4
/
ATOMIC_SPECIES
Tl 204.38 Tl.upf
Si 28.09 Si.upf
Pb 207.20 Pb.upf
Au 196.97 Au.upf
ATOMIC_POSITIONS crystal
Tl 0.124 0.124 0.381
Tl 0.876 0.876 0.619
Si 0.331 0.331 0.787
Si 0.669 0.669 0.213
Pb 0.000 0.000 0.000
Au 0.132 0.556 0.174
Au 0.438 0.438 0.602
Au 0.444 0.868 0.826
Au 0.500 0.500 0.000
Au 0.556 0.132 0.174
Au 0.562 0.562 0.398
Au 0.868 0.444 0.826
CELL_PARAMETERS angstrom
3.559 -3.382 0.000
3.559 3.382 0.000
-2.127 0.000 11.607
```

## Properties
The formation energy from raw total energies is -50 kJ/mol of formula units. The density of states at the Fermi level comes out at 0.26 states/eV per atom.

# 6
VASP calculation (PBE) on a geometry-optimized YSi2Pb2Au7 structure. Values from VASP.

Cell and atoms, written as Quantum ESPRESSO input:
```
&SYSTEM
  ibrav = 0, nat = 12, ntyp = 4
/
ATOMIC_SPECIES
Y 88.91 Y.upf
Si 28.09 Si.upf
Pb 207.20 Pb.upf
Au 196.97 Au.upf
ATOMIC_POSITIONS crystal
Y 0.000 0.000 0.000
Si 0.421 0.421 0.756
Si 0.579 0.579 0.244
Pb 0.094 0.094 0.368
Pb 0.906 0.906 0.632
Au 0.053 0.543 0.158
Au 0.357 0.357 0.571
Au 0.457 0.947 0.842
Au 0.500 0.500 0.000
Au 0.543 0.053 0.158
Au 0.643 0.643 0.429
Au 0.947 0.457 0.842
CELL_PARAMETERS angstrom
3.196 -3.149 0.000
3.196 3.149 0.000
-1.693 0.000 13.065
```

## Properties
The formation energy from raw total energies is -245 kJ/mol of formula units. The density of states at the Fermi level comes out at 0.36 states/eV per atom.

# 7
VASP calculation (PBE) on a geometry-optimized ZnSiPb2Au6 structure. Values from VASP.

Cell and atoms, written as Quantum ESPRESSO input:
```
&SYSTEM
  ibrav = 0, nat = 20, ntyp = 4
/
ATOMIC_SPECIES
Zn 65.41 Zn.upf
Si 28.09 Si.upf
Pb 207.20 Pb.upf
Au 196.97 Au.upf
ATOMIC_POSITIONS crystal
Zn 0.250 0.250 0.224
Zn 0.750 0.750 0.776
Si 0.250 0.750 0.260
Si 0.750 0.250 0.740
Pb 0.250 0.519 0.791
Pb 0.250 0.981 0.791
Pb 0.750 0.019 0.209
Pb 0.750 0.481 0.209
Au 0.004 0.250 0.489
Au 0.004 0.250 0.971
Au 0.250 0.503 0.379
Au 0.250 0.997 0.379
Au 0.496 0.250 0.489
Au 0.496 0.250 0.971
Au 0.504 0.750 0.029
Au 0.504 0.750 0.511
Au 0.750 0.003 0.621
Au 0.750 0.497 0.621
Au 0.996 0.750 0.029
Au 0.996 0.750 0.511
CELL_PARAMETERS angstrom
5.706 0.000 0.000
0.000 9.057 0.000
0.000 0.000 8.607
```

## Properties
The formation energy from raw total energies is -57 kJ/mol of formula units. The density of states at the Fermi level comes out at 0.39 states/eV per atom.

# 8
VASP calculation (PBE) on a geometry-optimized Sm6PbAu5 structure. Values from VASP.

Cell and atoms, written as Quantum ESPRESSO input:
```
&SYSTEM
  ibrav = 0, nat = 12, ntyp = 3
/
ATOMIC_SPECIES
Sm 150.36 Sm.upf
Pb 207.20 Pb.upf
Au 196.97 Au.upf
ATOMIC_POSITIONS crystal
Sm 0.000 0.237 0.000
Sm 0.000 0.763 0.000
Sm 0.329 0.246 0.657
Sm 0.329 0.754 0.657
Sm 0.671 0.246 0.343
Sm 0.671 0.754 0.343
Pb 0.500 0.500 0.000
Au 0.159 0.500 0.321
Au 0.166 0.000 0.334
Au 0.500 0.000 0.000
Au 0.834 0.000 0.666
Au 0.841 0.500 0.679
CELL_PARAMETERS angstrom
5.220 0.000 0.000
0.000 7.473 0.000
-2.603 0.000 7.872
```

## Properties
The total energy is -4.765 eV per atom. The density of states at the Fermi level comes out at 0.76 states/eV per atom.

# 9
VASP calculation (PBE) on a geometry-optimized Sm2PbAu4 structure. Values from VASP.

Cell and atoms, written as Quantum ESPRESSO input:
```
&SYSTEM
  ibrav = 0, nat = 7, ntyp = 3
/
ATOMIC_SPECIES
Sm 150.36 Sm.upf
Pb 207.20 Pb.upf
Au 196.97 Au.upf
ATOMIC_POSITIONS crystal
Sm 0.249 0.249 0.249
Sm 0.751 0.751 0.751
Pb 0.000 0.000 0.000
Au 0.130 0.130 0.130
Au 0.379 0.379 0.379
Au 0.621 0.621 0.621
Au 0.870 0.870 0.870
CELL_PARAMETERS angstrom
2.487 1.436 8.327
-2.487 1.436 8.327
0.000 -2.872 8.327
```

## Properties
The total energy is -4.282 eV per atom. The density of states at the Fermi level comes out at 0.53 states/eV per atom.

# 10
VASP calculation (PBE) on a geometry-optimized SmPb2Au structure. Values from VASP.

Cell and atoms, written as Quantum ESPRESSO input:
```
&SYSTEM
  ibrav = 0, nat = 4, ntyp = 3
/
ATOMIC_SPECIES
Sm 150.36 Sm.upf
Pb 207.20 Pb.upf
Au 196.97 Au.upf
ATOMIC_POSITIONS crystal
Sm 0.000 0.000 0.000
Pb 0.100 0.100 0.100
Pb 0.900 0.900 0.900
Au 0.500 0.500 0.500
CELL_PARAMETERS angstrom
1.794 1.036 10.709
-1.794 1.036 10.709
0.000 -2.071 10.709
```

## Properties
The total energy is -3.802 eV per atom. The density of states at the Fermi level comes out at 0.78 states/eV per atom.

# 11
VASP calculation (PBE) on a geometry-optimized SmPbAu2 structure. Values from VASP.

Cell and atoms, written as Quantum ESPRESSO input:
```
&SYSTEM
  ibrav = 0, nat = 4, ntyp = 3
/
ATOMIC_SPECIES
Sm 150.36 Sm.upf
Pb 207.20 Pb.upf
Au 196.97 Au.upf
ATOMIC_POSITIONS crystal
Sm 0.000 0.000 0.000
Pb 0.500 0.500 0.500
Au 0.250 0.250 0.250
Au 0.750 0.750 0.750
CELL_PARAMETERS angstrom
0.000 3.614 3.614
3.614 0.000 3.614
3.614 3.614 0.000
```

## Properties
The total energy is -4.343 eV per atom. The density of states at the Fermi level comes out at 0.60 states/eV per atom.

# 12
VASP calculation (PBE) on a geometry-optimized Sm4PbAu structure. Values from VASP.

Cell and atoms, written as Quantum ESPRESSO input:
```
&SYSTEM
  ibrav = 0, nat = 6, ntyp = 3
/
ATOMIC_SPECIES
Sm 150.36 Sm.upf
Pb 207.20 Pb.upf
Au 196.97 Au.upf
ATOMIC_POSITIONS crystal
Sm 0.000 0.500 0.232
Sm 0.000 0.500 0.768
Sm 0.500 0.000 0.232
Sm 0.500 0.000 0.768
Pb 0.000 0.000 0.500
Au 0.500 0.500 0.000
CELL_PARAMETERS angstrom
5.128 0.000 0.000
0.000 5.128 0.000
0.000 0.000 7.516
```

## Properties
The total energy is -4.613 eV per atom. The density of states at the Fermi level comes out at 1.44 states/eV per atom.